CaAcZn4 | PBE-GGA | optimized geometry

a b c (Å): 4.708 5.925 5.925
angles (deg): 80.16 66.59 66.59
Atoms (fractional coordinates):
Zn: 0.162 0.033 0.643
Zn: 0.162 0.643 0.033
Zn: 0.832 0.476 0.860
Zn: 0.832 0.860 0.476
Ca: 0.465 0.035 0.035
Ac: 0.547 0.453 0.453

- Fermi-level density of states (states/eV per cell) = 5.03

***

CaAcZn | PBE-GGA | optimized geometry

a b c (Å): 3.805 3.805 7.344
angles (deg): 105.01 105.01 90.00
Atoms (fractional coordinates):
Zn: 0.662 0.662 0.324
Ac: 0.305 0.305 0.611
Ca: 0.033 0.033 0.066

- Fermi-level density of states (states/eV per cell) = 2.65

***

CaAc2Zn3 | PBE-GGA | optimized geometry

a b c (Å): 3.858 3.858 11.463
angles (deg): 90.00 90.00 90.00
Atoms (fractional coordinates):
Ac: 0.500 0.500 0.171
Ac: 0.500 0.500 0.829
Ca: 0.500 0.500 0.500
Zn: 0.000 0.000 0.000
Zn: 0.000 0.000 0.654
Zn: 0.000 0.000 0.346

- Fermi-level density of states (states/eV per cell) = 4.95

***

Ca2AcZn | PBE-GGA | optimized geometry

a b c (Å): 3.870 7.405 10.159
angles (deg): 90.00 90.00 105.13
Atoms (fractional coordinates):
Ca: 0.855 0.710 0.562
Ca: 0.855 0.710 0.938
Ca: 0.145 0.290 0.062
Ca: 0.145 0.290 0.438
Ac: 0.445 0.889 0.250
Ac: 0.555 0.111 0.750
Zn: 0.763 0.526 0.250
Zn: 0.237 0.474 0.750

- Fermi-level density of states (states/eV per cell) = 8.98

***

In eV/atom, the formation energy from the elements values for the records above are, in order, -0.291 -0.148 -0.240 -0.091.